(1)
Here is a relaxed structure of PaAgPt6 from Alexandria. Energies are from GGA-PBE.

Output
Calculated volume ... 137 Å³/f.u.
Electronic total energy ... -0.2427 hartree per atom
Energy of formation ... -529 meV per atom
N(E_F) ... 6.34 states/eV/cell

abc: 4.7164 5.8005 5.8005
angles: 120.01 90.00 90.00
Atoms (fractional coordinates):
Pa1 0.5000 0.4167 0.5833
Ag1 0.0000 0.0833 0.9167
Pt1 0.0000 0.0774 0.4138
Pt2 0.0000 0.5862 0.9226
Pt3 0.0000 0.5862 0.4138
Pt4 0.5000 0.4184 0.0843
Pt5 0.5000 0.9157 0.5816
Pt6 0.5000 0.9157 0.0843

(2)
Here is a relaxed structure of Pa2AgPt from Alexandria. Energies are from GGA-PBE.

Output
Calculated volume ... 91 Å³/f.u.
Electronic total energy ... -0.2648 hartree per atom
Energy of formation ... -234 meV per atom
N(E_F) ... 8.24 states/eV/cell

abc: 3.7378 3.7378 6.4967
angles: 90.00 90.00 90.00
Atoms (fractional coordinates):
Pa1 0.0000 0.0000 0.7825
Pa2 0.0000 0.0000 0.2175
Ag1 0.5000 0.5000 0.5000
Pt1 0.5000 0.5000 0.0000

(3)
Here is a relaxed structure of PaAgPt from Alexandria. Energies are from GGA-PBE.

Output
Calculated volume ... 63 Å³/f.u.
Electronic total energy ... -0.2410 hartree per atom
Energy of formation ... -429 meV per atom
N(E_F) ... 8.99 states/eV/cell

abc: 5.2773 5.2773 7.1618
angles: 125.77 125.77 57.64
Atoms (fractional coordinates):
Ag1 0.3754 0.3754 0.7406
Ag2 0.6246 0.6246 0.2594
Pa1 0.7204 0.7204 0.7741
Pa2 0.2796 0.2796 0.2259
Pt1 0.0213 0.0213 0.7183
Pt2 0.9787 0.9787 0.2817

(4)
Here is a relaxed structure of PaAgPt from Alexandria. Energies are from GGA-PBE.

Output
Calculated volume ... 63 Å³/f.u.
Electronic total energy ... -0.2389 hartree per atom
Energy of formation ... -371 meV per atom
N(E_F) ... 4.56 states/eV/cell

abc: 3.6631 3.6631 5.3725
angles: 109.93 109.93 90.00
Each line ends with the local moment (μB).
Atoms (fractional coordinates):
Pa1 0.2955 0.2955 0.5910  0.43
Ag1 0.6105 0.6105 0.2211  0.02
Pt1 0.9440 0.9440 0.8879  -0.02

(5)
Here is a relaxed structure of PaAgPt2 from Alexandria. Energies are from GGA-PBE.

Output
Calculated volume ... 77 Å³/f.u.
Electronic total energy ... -0.2472 hartree per atom
Energy of formation ... -618 meV per atom
N(E_F) ... 3.27 states/eV/cell

abc: 3.4520 3.4520 6.4722
angles: 90.00 90.00 90.00
Atoms (fractional coordinates):
Pa1 0.5000 0.5000 0.5000
Ag1 0.5000 0.5000 0.0000
Pt1 0.0000 0.0000 0.7611
Pt2 0.0000 0.0000 0.2389

(6)
Here is a relaxed structure of Pa2AgPt from Alexandria. Energies are from GGA-PBE.

Output
Calculated volume ... 85 Å³/f.u.
Electronic total energy ... -0.2664 hartree per atom
Energy of formation ... -279 meV per atom
N(E_F) ... 5.78 states/eV/cell

abc: 4.3345 4.4362 4.4362
angles: 90.00 90.00 90.00
Atoms (fractional coordinates):
Pa1 0.0000 0.0000 0.5000
Pa2 0.0000 0.5000 0.0000
Ag1 0.5000 0.0000 0.0000
Pt1 0.5000 0.5000 0.5000

- What is the N(E_F) in the fourth record?
  4.56 states/eV/cell